Entry 1:
PBE-GGA KMo2PtW, optimized geometry; final energy = -6.40 eV per atom; crystal system = tetragonal; energy of formation from the pure elements = 9.76 eV per formula unit
1.0
-3.619 0.540 -3.377
-3.183 -2.160 3.066
-1.146 4.441 1.939
Mo W K Pt
2 1 1 1
Direct
0.000 0.000 0.500
0.500 0.000 0.000
0.000 0.500 0.000
0.500 0.500 0.500
0.000 0.000 0.000



Entry 2:
PBE-GGA PrSc4Ni5, optimized geometry; final energy = -6.33 eV per atom; crystal system = tetragonal; energy of formation from the pure elements = -4.26 eV per formula unit
1.0
3.214 0.000 0.000
0.000 3.214 0.000
0.000 0.000 16.404
Ni Sc Pr
5 4 1
Direct
0.500 0.500 0.689
0.500 0.500 0.872
0.500 0.500 0.311
0.500 0.500 0.128
0.500 0.500 0.500
0.000 0.000 0.787
0.000 0.000 0.405
0.000 0.000 0.595
0.000 0.000 0.213
0.000 0.000 0.000



Entry 3:
PBE-GGA Mn2CrHg2, optimized geometry; final energy = -4.81 eV per atom; crystal system = tetragonal; energy of formation from the pure elements = 4.53 eV per formula unit
1.0
3.114 0.000 0.000
0.000 3.114 0.000
1.557 1.557 8.396
Mn Hg Cr
2 2 1
Direct
0.750 0.250 0.500
0.250 0.750 0.500
0.608 0.608 0.783
0.392 0.392 0.217
0.000 0.000 0.000



Entry 4:
PBE-GGA Sm3Mg5Pd2, optimized geometry; final energy = -3.54 eV per atom; crystal system = orthorhombic; energy of formation from the pure elements = -2.84 eV per formula unit
1.0
-3.842 -3.560 3.625
-0.628 -8.699 -3.610
5.113 -4.734 6.367
Mg Pd Sm
10 4 6
Direct
0.087 0.589 0.237
0.982 0.268 0.268
0.413 0.763 0.411
0.587 0.237 0.589
0.518 0.732 0.732
0.018 0.732 0.732
0.250 0.500 0.500
0.750 0.500 0.500
0.913 0.411 0.763
0.482 0.268 0.268
0.649 0.977 0.724
0.851 0.276 0.023
0.149 0.724 0.977
0.351 0.023 0.276
0.659 0.598 0.083
0.841 0.917 0.402
0.341 0.402 0.917
0.250 0.000 0.000
0.159 0.083 0.598
0.750 0.000 0.000



Entry 5:
PBE-GGA Pu3Ga4Cu4, optimized geometry; final energy = -6.69 eV per atom; crystal system = orthorhombic; energy of formation from the pure elements = -2.06 eV per formula unit
1.0
4.246 0.000 -1.169
-0.753 6.087 -2.736
-0.097 -0.147 7.942
Ga Cu Pu
4 4 3
Direct
0.500 0.808 0.000
0.779 0.279 0.559
0.221 0.721 0.441
0.500 0.192 0.000
0.672 0.486 0.344
0.328 0.514 0.656
0.328 0.142 0.656
0.672 0.858 0.344
0.000 0.500 0.000
0.875 0.875 0.749
0.125 0.125 0.251



Entry 6:
PBE-GGA Sm2Ag3Hg3, optimized geometry; final energy = -2.67 eV per atom; crystal system = trigonal; energy of formation from the pure elements = -2.47 eV per formula unit
1.0
0.727 -4.660 1.826
3.895 -2.779 -1.638
6.261 0.605 6.054
Hg Ag Sm
3 3 2
Direct
0.125 0.125 0.624
0.374 0.374 0.878
0.875 0.875 0.374
0.748 0.748 0.755
0.252 0.252 0.245
0.626 0.626 0.123
0.000 0.000 0.001
0.500 0.500 0.498



Entry 7:
PBE-GGA SrCaHf2Zn, optimized geometry; final energy = -4.40 eV per atom; crystal system = tetragonal; energy of formation from the pure elements = 2.89 eV per formula unit
1.0
5.203 0.000 0.000
0.000 5.594 0.000
0.000 0.000 5.203
Ca Zn Hf Sr
1 1 2 1
Direct
0.000 0.500 0.000
0.000 0.000 0.000
0.000 0.000 0.500
0.500 0.000 0.000
0.500 0.500 0.500



Entry 8:
PBE-GGA LiTcSb2, optimized geometry; formation energy (no corrections) = -16.04 kJ per mole of atoms; final energy = -5.30 eV per atom; crystal system = tetragonal
1.0
3.251 0.000 0.000
0.000 3.251 0.000
0.000 0.000 7.689
Sb Tc Li
2 1 1
Direct
0.000 0.000 0.035
0.000 0.000 0.465
0.500 0.500 0.250
0.500 0.500 0.750